# 1
HfAs2OsBr PBE-GGA optimized geometry; uncorrected formation energy = 1150 meV/atom; total magnetization = 3.67 μB/f.u.; VASP energy = -26.4 eV for the cell shown; DOS at the Fermi energy = 1.13 states/eV/atom; energy relative to the lowest polymorph listed for this composition = 7.65 kcal/mol of atoms; V = 135.8 Å³/cell
1.0
5.188 0.000 0.000
0.000 5.188 0.000
0.000 0.000 5.044
As Os Br Hf
2 1 1 1
direct
0.000 0.500 0.000
0.500 0.000 0.000
0.500 0.500 0.500
0.000 0.000 0.500
0.000 0.000 0.000



# 2
HfAs2PBr PBE-GGA optimized geometry; uncorrected formation energy = 470 meV/atom; total magnetization = 0.78 μB/f.u.; VASP energy = -24.0 eV for the cell shown; DOS at the Fermi energy = 0.58 states/eV/atom; energy relative to the lowest polymorph listed for this composition = 0.00 kcal/mol of atoms; V = 140.2 Å³/cell
1.0
-2.631 0.720 4.480
-1.615 -4.988 -0.147
4.120 -1.412 2.646
Hf As Br P
1 2 1 1
direct
0.000 0.000 0.000
0.500 0.000 0.000
0.000 0.500 0.000
0.000 0.000 0.500
0.500 0.500 0.500